[1]
VASP calculation (PBE) on Nd2NiAgBi2Sb2 after structural relaxation.

Cell lengths 4.542, 4.542, 9.987 Å; angles 90.00, 90.00, 90.00 degrees
Positions (direct):
Ag 0.500 0.500 0.000
Bi 0.000 0.000 0.500
Bi 0.500 0.500 0.500
Nd 0.500 0.000 0.236
Nd 0.000 0.500 0.764
Ni 0.000 0.000 0.000
Sb 0.000 0.500 0.154
Sb 0.500 0.000 0.846

Its size of the total moment is 0.01 μB per formula unit.

[2]
VASP calculation (PBE) on CoRePtPb after structural relaxation.

Cell lengths 4.506, 4.506, 4.506 Å; angles 60.00, 60.00, 60.00 degrees
Positions (direct):
Co 0.750 0.750 0.750
Pb 0.000 0.000 0.000
Pt 0.500 0.500 0.500
Re 0.250 0.250 0.250

Its size of the total moment is 1.61 μB per formula unit. As for the offset from the most stable computed form: 0.0 meV per atom.

[3]
VASP calculation (PBE) on Dy3Mg3ZnPt2 after structural relaxation.

Cell lengths 7.461, 7.461, 4.035 Å; angles 90.00, 90.00, 120.00 degrees
Positions (direct):
Dy 0.418 0.000 0.000
Dy 0.000 0.418 0.000
Dy 0.582 0.582 0.000
Mg 0.750 0.000 0.500
Mg 0.250 0.250 0.500
Mg 0.000 0.750 0.500
Pt 0.667 0.333 0.500
Pt 0.333 0.667 0.500
Zn 0.000 0.000 0.000

Its size of the total moment is 0.03 μB per formula unit.

[4]
VASP calculation (PBE) on Pr2GdMg3Tl2Cd after structural relaxation.

Cell lengths 4.732, 7.674, 7.674 Å; angles 119.49, 90.00, 90.00 degrees
Positions (direct):
Cd 0.000 0.007 0.007
Gd 0.000 0.420 0.420
Mg 0.500 0.239 0.001
Mg 0.500 0.001 0.239
Mg 0.500 0.762 0.762
Pr 0.000 0.999 0.577
Pr 0.000 0.577 0.999
Tl 0.500 0.661 0.335
Tl 0.500 0.335 0.661

Its size of the total moment is 0.02 μB per formula unit.

[5]
VASP calculation (PBE) on TbSiNi2P after structural relaxation.

Cell lengths 5.492, 5.492, 5.492 Å; angles 138.31, 138.31, 60.43 degrees
Positions (direct):
Ni 0.749 0.249 0.500
Ni 0.249 0.749 0.500
P 0.624 0.624 0.000
Si 0.376 0.376 0.000
Tb 0.002 0.002 0.000

Its size of the total moment is 0.00 μB per formula unit.

[6]
VASP calculation (PBE) on BeGaW after structural relaxation.

Cell lengths 3.892, 3.892, 3.892 Å; angles 60.00, 60.00, 60.00 degrees
Positions (direct):
Be 0.000 0.000 0.000
Ga 0.250 0.250 0.250
W 0.750 0.750 0.750

Its size of the total moment is 0.61 μB per formula unit. As for the offset from the most stable computed form: 0.0 meV per atom.

[7]
VASP calculation (PBE) on NbReIr after structural relaxation.

Cell lengths 4.290, 4.290, 4.290 Å; angles 60.00, 60.00, 60.00 degrees
Positions (direct):
Ir 0.250 0.250 0.250
Nb 0.750 0.750 0.750
Re 0.000 0.000 0.000

Its size of the total moment is 0.00 μB per formula unit. As for the offset from the most stable computed form: 0.0 meV per atom. The calculation puts the energy of formation at 0.40 eV/atom.

[8]
VASP calculation (PBE) on AgSnF6 after structural relaxation.

Cell lengths 5.359, 5.359, 5.359 Å; angles 60.00, 60.00, 60.00 degrees
Positions (direct):
Ag 0.000 0.000 0.000
F 0.990 0.510 0.510
F 0.510 0.990 0.510
F 0.990 0.990 0.510
F 0.510 0.510 0.990
F 0.990 0.510 0.990
F 0.510 0.990 0.990
Sn 0.250 0.250 0.250

[9]
VASP calculation (PBE) on PrFeSi2Ag after structural relaxation.

Cell lengths 5.929, 5.929, 5.929 Å; angles 138.72, 138.72, 59.81 degrees
Site moments in Bohr magnetons follow the coordinates.
Positions (direct):
Ag 0.500 0.500 0.000  0.02
Fe 0.000 0.000 0.000  2.18
Pr 0.250 0.750 0.500  0.01
Si 0.632 0.132 0.500  -0.02
Si 0.868 0.368 0.500  -0.02

Its size of the total moment is 2.20 μB per formula unit.

[10]
VASP calculation (PBE) on Cu2Ag3 after structural relaxation.

Cell lengths 22.323, 22.323, 22.323 Å; angles 7.33, 7.33, 7.33 degrees
Positions (direct):
Ag 0.095 0.095 0.095
Ag 0.197 0.197 0.197
Ag 0.306 0.306 0.306
Ag 0.603 0.603 0.603
Ag 0.799 0.799 0.799
Ag 0.900 0.900 0.900
Cu 0.006 0.006 0.006
Cu 0.396 0.396 0.396
Cu 0.498 0.498 0.498
Cu 0.701 0.701 0.701

As for the offset from the most stable computed form: 51.1 meV per atom. The calculation puts the energy of formation at 0.08 eV/atom.

[11]
VASP calculation (PBE) on Zr4H6O11 after structural relaxation.

Cell lengths 10.539, 5.607, 4.864 Å; angles 103.34, 102.34, 113.97 degrees
Positions (direct):
H 0.215 0.928 0.302
H 0.728 0.466 0.504
H 0.580 0.372 0.575
H 0.456 0.523 0.592
H 0.093 0.173 0.646
H 0.596 0.013 0.757
O 0.239 0.904 0.106
O 0.775 0.905 0.203
O 0.988 0.440 0.238
O 0.423 0.549 0.266
O 0.618 0.327 0.402
O 0.189 0.994 0.594
O 0.686 0.026 0.681
O 0.893 0.705 0.742
O 0.048 0.277 0.747
O 0.499 0.479 0.771
O 0.479 0.957 0.860
Zr 0.579 0.861 0.198
Zr 0.056 0.639 0.678
Zr 0.876 0.057 0.928
Zr 0.378 0.189 0.952

Its size of the total moment is 0.00 μB per formula unit.

[12]
VASP calculation (PBE) on Ho2Zr2Ni after structural relaxation.

Cell lengths 4.772, 4.772, 10.841 Å; angles 90.00, 90.00, 120.00 degrees
Positions (direct):
Ho 0.667 0.333 0.096
Ho 0.667 0.333 0.404
Ho 0.333 0.667 0.596
Ho 0.333 0.667 0.904
Ni 0.000 0.000 0.250
Ni 0.000 0.000 0.750
Zr 0.000 0.000 0.000
Zr 0.333 0.667 0.250
Zr 0.000 0.000 0.500
Zr 0.667 0.333 0.750

Its size of the total moment is 0.01 μB per formula unit. The calculation puts the energy of formation at 0.15 eV/atom.

[13]
VASP calculation (PBE) on NaZr3 after structural relaxation.

Cell lengths 6.417, 6.417, 5.242 Å; angles 90.00, 90.00, 120.00 degrees
Site moments in Bohr magnetons follow the coordinates.
Positions (direct):
Na 0.000 0.000 0.000  0.01
Na 0.333 0.667 0.500  0.01
Zr 0.503 0.006 0.000  0.18
Zr 0.994 0.497 0.000  0.17
Zr 0.503 0.497 0.000  0.17
Zr 0.830 0.170 0.500  0.17
Zr 0.339 0.170 0.500  0.17
Zr 0.830 0.661 0.500  0.18

Its size of the total moment is 0.88 μB per formula unit. As for the offset from the most stable computed form: 112.2 meV per atom.

[14]
VASP calculation (PBE) on TbDyCu6 after structural relaxation.

Cell lengths 4.286, 5.761, 5.329 Å; angles 90.00, 90.00, 90.00 degrees
Positions (direct):
Cu 0.500 0.000 0.269
Cu 0.000 0.219 0.369
Cu 0.000 0.781 0.369
Cu 0.500 0.278 0.632
Cu 0.500 0.722 0.632
Cu 0.000 0.500 0.728
Dy 0.000 0.000 0.873
Tb 0.500 0.500 0.127

Its size of the total moment is 0.01 μB per formula unit. The calculation puts the energy of formation at -0.18 eV/atom.

[15]
VASP calculation (PBE) on LiTaCuSe2S after structural relaxation.

Cell lengths 6.716, 6.716, 9.513 Å; angles 90.00, 90.00, 149.52 degrees
Positions (direct):
Cu 0.973 0.027 0.250
Cu 0.027 0.973 0.750
Li 0.248 0.752 0.250
Li 0.752 0.248 0.750
S 0.586 0.414 0.250
S 0.414 0.586 0.750
Se 0.856 0.144 0.058
Se 0.856 0.144 0.442
Se 0.144 0.856 0.558
Se 0.144 0.856 0.942
Ta 0.500 0.500 0.000
Ta 0.500 0.500 0.500

Its size of the total moment is 0.06 μB per formula unit.

[16]
VASP calculation (PBE) on Er2HCBr after structural relaxation.

Cell lengths 3.634, 3.634, 9.556 Å; angles 90.00, 90.00, 120.00 degrees
Positions (direct):
Br 0.000 0.000 0.824
C 0.333 0.667 0.481
Er 0.000 0.000 0.339
Er 0.667 0.333 0.617
H 0.667 0.333 0.240

Its size of the total moment is 0.01 μB per formula unit.

[17]
VASP calculation (PBE) on LiMgCu4As2 after structural relaxation.

Cell lengths 4.064, 4.064, 6.754 Å; angles 90.00, 90.00, 90.00 degrees
Positions (direct):
As 0.000 0.000 0.000
As 0.500 0.500 0.500
Cu 0.500 0.000 0.262
Cu 0.000 0.500 0.262
Cu 0.500 0.000 0.738
Cu 0.000 0.500 0.738
Li 0.000 0.000 0.500
Mg 0.500 0.500 0.000

As for the offset from the most stable computed form: 0.0 meV per atom.

[18]
VASP calculation (PBE) on ZnAu3I after structural relaxation.

Cell lengths 7.575, 7.575, 9.446 Å; angles 90.00, 90.00, 134.49 degrees
Positions (direct):
Au 0.851 0.149 0.250
Au 0.295 0.252 0.250
Au 0.748 0.705 0.250
Au 0.252 0.295 0.750
Au 0.705 0.748 0.750
Au 0.149 0.851 0.750
I 0.000 0.000 0.000
I 0.000 0.000 0.500
Zn 0.678 0.322 0.250
Zn 0.322 0.678 0.750

[19]
VASP calculation (PBE) on Y4BiAuC2 after structural relaxation.

Cell lengths 3.684, 3.684, 14.873 Å; angles 90.00, 90.00, 120.00 degrees
Positions (direct):
Au 0.000 0.000 0.000
Bi 0.667 0.333 0.500
C 0.333 0.667 0.238
C 0.333 0.667 0.762
Y 0.667 0.333 0.146
Y 0.000 0.000 0.324
Y 0.000 0.000 0.676
Y 0.667 0.333 0.854

Its size of the total moment is 0.01 μB per formula unit.

[20]
VASP calculation (PBE) on LiSiBiOs after structural relaxation.

Cell lengths 4.576, 4.576, 4.576 Å; angles 60.00, 60.00, 60.00 degrees
Positions (direct):
Bi 0.500 0.500 0.500
Li 0.750 0.750 0.750
Os 0.000 0.000 0.000
Si 0.250 0.250 0.250

Its size of the total moment is 0.00 μB per formula unit. As for the offset from the most stable computed form: 318.5 meV per atom.

[21]
VASP calculation (PBE) on PuAgIr after structural relaxation.

Cell lengths 4.547, 4.547, 4.547 Å; angles 60.00, 60.00, 60.00 degrees
Positions (direct):
Ag 0.750 0.750 0.750
Ir 0.000 0.000 0.000
Pu 0.250 0.250 0.250

Its size of the total moment is 4.81 μB per formula unit. As for the offset from the most stable computed form: 0.0 meV per atom. The calculation puts the energy of formation at 0.04 eV/atom.

[22]
VASP calculation (PBE) on HoAgIr after structural relaxation.

Cell lengths 4.592, 4.592, 4.592 Å; angles 60.00, 60.00, 60.00 degrees
Positions (direct):
Ag 0.750 0.750 0.750
Ho 0.250 0.250 0.250
Ir 0.000 0.000 0.000

Its size of the total moment is 0.01 μB per formula unit. As for the offset from the most stable computed form: 0.0 meV per atom. The calculation puts the energy of formation at -0.17 eV/atom.

[23]
VASP calculation (PBE) on PmAgPb after structural relaxation.

Cell lengths 4.904, 4.904, 4.904 Å; angles 60.00, 60.00, 60.00 degrees
Positions (direct):
Ag 0.000 0.000 0.000
Pb 0.250 0.250 0.250
Pm 0.750 0.750 0.750

Its size of the total moment is 0.00 μB per formula unit. As for the offset from the most stable computed form: 0.0 meV per atom.

[24]
VASP calculation (PBE) on PrInPd after structural relaxation.

Cell lengths 4.835, 4.835, 4.835 Å; angles 60.00, 60.00, 60.00 degrees
Site moments in Bohr magnetons follow the coordinates.
Positions (direct):
In 0.250 0.250 0.250  0.07
Pd 0.000 0.000 0.000  0.05
Pr 0.750 0.750 0.750  0.12

Its size of the total moment is 0.46 μB per formula unit.

[25]
VASP calculation (PBE) on UCoRe after structural relaxation.

Cell lengths 4.216, 4.216, 4.216 Å; angles 60.00, 60.00, 60.00 degrees
Positions (direct):
Co 0.000 0.000 0.000
Re 0.250 0.250 0.250
U 0.750 0.750 0.750

Its size of the total moment is 0.19 μB per formula unit. As for the offset from the most stable computed form: 0.0 meV per atom. The calculation puts the energy of formation at 0.41 eV/atom.

[26]
VASP calculation (PBE) on Cu2Ag after structural relaxation.

Cell lengths 4.690, 4.690, 11.089 Å; angles 112.54, 112.54, 34.04 degrees
Positions (direct):
Ag 0.925 0.925 0.258
Ag 0.500 0.500 0.500
Ag 0.075 0.075 0.742
Cu 0.380 0.380 0.038
Cu 0.146 0.146 0.160
Cu 0.714 0.714 0.384
Cu 0.286 0.286 0.616
Cu 0.854 0.854 0.840
Cu 0.620 0.620 0.962

As for the offset from the most stable computed form: 44.7 meV per atom. The calculation puts the energy of formation at 0.09 eV/atom.

Number 1: electronic total energy -4.876 eV per atom. Number 2: electronic total energy -6.670 eV per atom. Number 3: electronic total energy -4.262 eV per atom. Number 4: electronic total energy -3.066 eV per atom. Number 5: electronic total energy -6.297 eV per atom. Number 6: electronic total energy -6.007 eV per atom. Number 7: electronic total energy -10.052 eV per atom. Number 8: electronic total energy -3.879 eV per atom. Number 9: electronic total energy -5.759 eV per atom. Number 10: electronic total energy -3.098 eV per atom. Number 11: electronic total energy -7.350 eV per atom. Number 12: electronic total energy -6.209 eV per atom. Number 13: electronic total energy -6.235 eV per atom. Number 14: electronic total energy -4.124 eV per atom. Number 15: electronic total energy -5.448 eV per atom. Number 16: electronic total energy -5.542 eV per atom. Number 17: electronic total energy -3.540 eV per atom. Number 18: electronic total energy -2.222 eV per atom. Number 19: electronic total energy -7.011 eV per atom. Number 20: electronic total energy -5.119 eV per atom. Number 21: electronic total energy -8.561 eV per atom. Number 22: electronic total energy -5.589 eV per atom. Number 23: electronic total energy -4.180 eV per atom. Number 24: electronic total energy -4.839 eV per atom. Number 25: electronic total energy -9.867 eV per atom. Number 26: electronic total energy -3.329 eV per atom.